(1)
Computed, not measured: an optimized crystal structure of CuAuF5 at the PBE-GGA level of DFT.

Computed properties:
* ρ: 5.71 g/cm3
* energy above the most stable polymorph in this dataset: 0.047 eV per atom

Cell lengths 5.507, 5.507, 6.892 Å; angles 92.74, 92.74, 97.17 degrees
Positions (direct):
Cu: 0.000 0.000 0.000
Cu: 0.000 0.000 0.500
Au: 0.371 0.629 0.750
Au: 0.629 0.371 0.250
F: 0.067 0.689 0.600
F: 0.098 0.902 0.250
F: 0.311 0.933 0.900
F: 0.314 0.391 0.108
F: 0.391 0.314 0.608
F: 0.609 0.686 0.392
F: 0.686 0.609 0.892
F: 0.689 0.067 0.100
F: 0.902 0.098 0.750
F: 0.933 0.311 0.400

(2)
Computed, not measured: an optimized crystal structure of Cu3AuF at the PBE-GGA level of DFT.

Computed properties:
* ρ: 6.16 g/cm3
* energy above the most stable polymorph in this dataset: 0.609 eV per atom

Cell lengths 4.785, 4.785, 4.785 Å; angles 90.00, 90.00, 90.00 degrees
Positions (direct):
Cu: 0.000 0.000 0.500
Cu: 0.000 0.500 0.000
Cu: 0.500 0.000 0.000
Au: 0.000 0.000 0.000
F: 0.500 0.500 0.500

(3)
Computed, not measured: an optimized crystal structure of CuAuF2 at the PBE-GGA level of DFT.

Computed properties:
* ρ: 7.58 g/cm3
* energy above the most stable polymorph in this dataset: 0.000 eV per atom

Cell lengths 8.945, 8.945, 8.945 Å; angles 18.87, 18.87, 18.87 degrees
Positions (direct):
Cu: 0.000 0.000 0.000
Au: 0.500 0.500 0.500
F: 0.376 0.376 0.376
F: 0.624 0.624 0.624

(4)
Computed, not measured: an optimized crystal structure of Cu3AuF at the PBE-GGA level of DFT.

Computed properties:
* ρ: 9.61 g/cm3
* energy above the most stable polymorph in this dataset: 0.000 eV per atom

Cell lengths 4.126, 4.126, 4.126 Å; angles 90.00, 90.00, 90.00 degrees
Positions (direct):
Cu: 0.000 0.000 0.500
Cu: 0.000 0.500 0.000
Cu: 0.500 0.000 0.000
Au: 0.500 0.500 0.500
F: 0.000 0.000 0.000

(5)
Computed, not measured: an optimized crystal structure of CuAu2F6 at the PBE-GGA level of DFT.

Computed properties:
* ρ: 6.81 g/cm3
* uncorrected energy: -62.64 eV/cell

Cell lengths 7.346, 7.346, 5.584 Å; angles 103.52, 103.52, 97.93 degrees
Positions (direct):
Cu: 0.072 0.928 0.750
Cu: 0.928 0.072 0.250
Au: 0.249 0.473 0.722
Au: 0.473 0.249 0.222
Au: 0.527 0.751 0.778
Au: 0.751 0.527 0.278
F: 0.042 0.180 0.618
F: 0.073 0.653 0.776
F: 0.180 0.042 0.118
F: 0.290 0.418 0.177
F: 0.347 0.927 0.724
F: 0.418 0.290 0.677
F: 0.582 0.710 0.323
F: 0.653 0.073 0.276
F: 0.710 0.582 0.823
F: 0.820 0.958 0.882
F: 0.927 0.347 0.224
F: 0.958 0.820 0.382

(6)
Computed, not measured: an optimized crystal structure of Cu3AuF8 at the PBE-GGA level of DFT.

Computed properties:
* ρ: 5.09 g/cm3
* uncorrected energy: -46.35 eV/cell

Cell lengths 5.354, 5.472, 6.330 Å; angles 95.46, 91.94, 107.14 degrees
Positions (direct):
Cu: 0.000 0.000 0.000
Cu: 0.265 0.559 0.856
Cu: 0.735 0.441 0.144
Au: 0.000 0.000 0.500
F: 0.183 0.768 0.093
F: 0.194 0.797 0.678
F: 0.288 0.332 0.610
F: 0.305 0.297 0.045
F: 0.695 0.703 0.955
F: 0.712 0.668 0.390
F: 0.806 0.203 0.322
F: 0.817 0.232 0.907